1.
# KDyHgPb

Crystalline KDyHgPb at its relaxed geometry (PBE, Alexandria via LeMat-Bulk).

## Properties
energy relative to the elements	-0.220	eV per atom

Cell lengths 7.848, 7.848, 7.848 Å; angles 90.00, 90.00, 90.00 degrees
Space group F-43m (No. 216)
Inequivalent atoms, fractional coordinates:
K 0.000 0.000 0.000 (multiplicity 4)
Dy 0.000 0.000 0.500 (multiplicity 4)
Hg 0.250 0.250 0.750 (multiplicity 4)
Pb 0.250 0.250 0.250 (multiplicity 4)

2.
# KDyHgSe3

Crystalline KDyHgSe3 at its relaxed geometry (PBE, Alexandria via LeMat-Bulk).

## Properties
formation energy without anion corrections	-115.0	kJ/mol of atoms

Cell lengths 8.848, 4.258, 10.221 Å; angles 90.00, 107.05, 90.00 degrees
Space group P2_1/m (No. 11)
Inequivalent atoms, fractional coordinates:
K 0.216 0.250 0.240 (multiplicity 2)
Dy 0.329 0.750 0.863 (multiplicity 2)
Hg 0.092 0.250 0.612 (multiplicity 2)
Se 0.103 0.250 0.872 (multiplicity 2)
Se 0.245 0.750 0.545 (multiplicity 2)
Se 0.458 0.750 0.150 (multiplicity 2)

3.
# KDy2HgTe4

Crystalline KDy2HgTe4 at its relaxed geometry (PBE, Alexandria via LeMat-Bulk).

## Properties
formation energy without anion corrections	-95.1	kJ/mol of atoms

Cell lengths 4.436, 15.116, 16.451 Å; angles 90.00, 90.00, 90.00 degrees
Space group Cmcm (No. 63)
Inequivalent atoms, fractional coordinates:
K 0.000 0.140 0.250 (multiplicity 4)
Dy 0.000 0.377 0.073 (multiplicity 8)
Hg 0.000 0.170 0.750 (multiplicity 4)
Te 0.000 0.000 0.000 (multiplicity 4)
Te 0.000 0.265 0.594 (multiplicity 8)
Te 0.000 0.462 0.250 (multiplicity 4)

4.
# K2DyHg2Te4

Crystalline K2DyHg2Te4 at its relaxed geometry (PBE, Alexandria via LeMat-Bulk).

## Properties
formation energy without anion corrections	-75.3	kJ/mol of atoms

Cell lengths 17.410, 4.472, 8.806 Å; angles 90.00, 114.35, 90.00 degrees
Space group C2/m (No. 12)
Inequivalent atoms, fractional coordinates:
K 0.128 0.000 0.081 (multiplicity 4)
Dy 0.000 0.000 0.500 (multiplicity 2)
Hg 0.189 0.500 0.513 (multiplicity 4)
Te 0.016 0.500 0.265 (multiplicity 4)
Te 0.190 0.000 0.735 (multiplicity 4)

Question: Number 1 is which compound?
Answer: KDyHgPb

What did the first record say?
# KDyHgPb

Crystalline KDyHgPb at its relaxed geometry (PBE, Alexandria via LeMat-Bulk).

## Properties
energy relative to the elements	-0.220	eV per atom

Cell lengths 7.848, 7.848, 7.848 Å; angles 90.00, 90.00, 90.00 degrees
Space group F-43m (No. 216)
Inequivalent atoms, fractional coordinates:
K 0.000 0.000 0.000 (multiplicity 4)
Dy 0.000 0.000 0.500 (multiplicity 4)
Hg 0.250 0.250 0.750 (multiplicity 4)
Pb 0.250 0.250 0.250 (multiplicity 4)